(1)
Nd2HoTl2: relaxed, GGA-PBE.

Structure (POSCAR):
```
Nd2HoTl2
1.0
3.783 0.000 -0.508
0.000 5.463 0.000
0.013 0.000 14.487
Ho Tl Nd
2 4 4
Cartesian
3.234 4.097 9.742
0.563 1.366 4.237
1.357 1.366 10.125
2.090 1.366 1.233
1.706 4.097 12.746
2.439 4.097 3.854
0.184 4.097 1.364
3.613 1.366 12.616
2.885 1.366 7.205
0.911 4.097 6.774
```

Summary:
- Space-group type: P2_1/m (11)



(2)
Nd3Ho6Tl: relaxed, GGA-PBE.

Structure (POSCAR):
```
Nd3Ho6Tl
1.0
3.516 0.000 0.000
0.000 12.360 -3.414
0.000 1.087 14.322
Nd Tl Ho
6 2 12
Cartesian
0.879 7.253 -0.571
2.637 6.194 11.479
2.637 8.369 5.085
0.879 12.398 9.719
0.879 5.078 5.823
2.637 1.049 1.189
2.637 1.231 10.267
0.879 12.216 0.640
0.879 3.111 3.288
0.879 9.081 10.394
0.879 11.610 4.700
0.879 3.357 12.543
2.637 4.366 0.514
0.879 3.748 9.015
0.879 6.663 2.686
2.637 10.090 -1.635
2.637 9.699 1.893
2.637 6.784 8.222
2.637 1.837 6.208
2.637 10.336 7.620
```

Summary:
- Space-group type: P2_1/m (11)



(3)
Nd12Ho2Tl: relaxed, GGA-PBE.

Structure (POSCAR):
```
Nd12Ho2Tl
1.0
6.726 0.000 0.000
0.000 6.726 0.000
0.000 0.000 23.915
Nd Ho Tl
24 4 2
Cartesian
5.012 5.077 2.230
5.606 2.243 13.527
5.012 1.649 21.685
3.363 3.363 16.086
1.120 2.243 10.388
2.243 5.606 10.388
0.000 0.000 4.783
5.606 4.483 10.388
0.000 0.000 16.086
1.120 4.483 13.527
5.077 1.714 2.230
5.077 5.012 21.685
1.714 5.077 21.685
3.363 3.363 4.783
0.000 0.000 7.829
4.483 5.606 13.527
2.243 1.120 13.527
4.483 1.120 10.388
1.714 1.649 2.230
1.649 1.714 21.685
1.649 5.012 2.230
3.363 3.363 19.132
3.363 3.363 7.829
0.000 0.000 19.132
0.000 3.363 17.973
3.363 0.000 17.973
3.363 0.000 5.942
0.000 3.363 5.942
3.363 0.000 0.000
0.000 3.363 0.000
```

Summary:
- Space-group type: P4/nbm (125)



(4)
Nd8HoTl6: relaxed, GGA-PBE.

Structure (POSCAR):
```
Nd8HoTl6
1.0
9.328 0.000 0.000
4.664 8.079 0.000
4.664 2.693 6.650
Nd Tl Ho
8 6 1
Cartesian
10.901 8.059 4.421
7.756 2.712 2.229
6.227 5.411 4.421
10.858 2.687 4.421
12.430 5.361 2.229
9.328 5.386 6.624
7.799 8.084 2.229
9.328 5.386 0.026
7.803 8.140 5.489
10.951 8.084 1.161
12.476 5.329 5.489
6.181 5.442 1.161
7.706 2.688 5.489
10.853 2.631 1.161
0.000 0.000 0.000
```

Summary:
- Space-group type: R-3 (148)



(5)
Nd4Ho3Tl: relaxed, GGA-PBE.

Structure (POSCAR):
```
Nd4Ho3Tl
1.0
4.823 0.000 -1.302
-0.345 4.817 -1.279
0.320 0.289 10.773
Tl Nd Ho
1 4 3
Cartesian
2.411 0.000 -0.651
0.624 0.659 2.316
4.174 4.447 5.876
1.934 2.039 7.167
2.863 3.067 1.025
1.100 3.750 4.076
-0.173 2.408 -0.639
3.698 1.356 4.116
```

Summary:
- Space-group type: I4/mmm (139)



(6)
Nd7HoTl4: relaxed, GGA-PBE.

Structure (POSCAR):
```
Nd7HoTl4
1.0
-2.926 -4.367 2.726
-0.793 -7.251 -6.037
5.008 -5.767 2.567
Tl Nd Ho
4 7 1
Cartesian
-0.992 -4.016 -1.068
2.281 -13.369 0.323
-0.031 -9.443 -2.300
1.320 -7.942 1.556
1.695 -4.480 1.072
-1.463 -2.183 1.363
-0.406 -12.904 -1.816
2.633 -10.598 -1.290
0.690 -6.222 -2.796
0.599 -11.163 2.052
-1.344 -6.787 0.545
0.000 0.000 0.000
```

Summary:
- Space-group type: C2/m (12)



(7)
Nd5HoTl3: relaxed, GGA-PBE.

Structure (POSCAR):
```
Nd5HoTl3
1.0
6.911 0.000 0.000
0.000 9.621 0.000
0.000 -4.810 8.323
Nd Ho Tl
10 2 6
Cartesian
0.000 4.810 2.773
1.728 -3.180 5.502
1.728 1.631 2.820
0.000 0.000 5.550
5.183 7.990 2.820
1.728 6.362 0.000
3.455 4.810 2.773
3.455 0.000 5.550
5.183 3.180 5.502
5.183 3.259 0.000
0.000 0.000 0.000
3.455 0.000 0.000
5.183 1.558 2.699
5.183 6.498 0.000
1.728 -1.558 2.699
5.183 6.368 5.623
1.728 3.252 5.623
1.728 3.123 0.000
```

Summary:
- Space-group type: Cmcm (63)



(8)
Nd6Ho3Tl: relaxed, GGA-PBE.

Structure (POSCAR):
```
Nd6Ho3Tl
1.0
-4.469 4.646 -0.607
-8.148 -7.461 2.876
6.156 6.806 6.790
Nd Ho Tl
12 6 2
Cartesian
-7.478 0.607 1.668
-1.670 -0.731 2.830
-2.393 -0.968 6.339
-3.058 2.920 6.465
-2.335 3.158 2.956
0.210 4.223 7.282
-8.223 0.363 5.282
-5.315 -2.087 3.823
2.261 10.282 6.223
0.956 4.467 3.668
-1.413 6.357 5.200
-9.245 -5.746 2.766
-5.604 -0.118 7.234
-4.223 5.811 7.920
-0.101 1.324 5.129
-2.909 6.243 1.547
-4.290 0.314 0.861
-4.870 1.119 4.132
-8.453 -2.648 3.139
3.671 4.893 6.149
```

Summary:
- Space-group type: Cmc2_1 (36)



(9)
NdHo2Tl4: relaxed, GGA-PBE.

Structure (POSCAR):
```
NdHo2Tl4
1.0
4.903 0.000 0.000
2.452 4.246 0.000
2.452 1.415 10.184
Ho Nd Tl
2 1 4
Cartesian
7.355 4.246 3.973
2.452 1.415 6.211
0.000 0.000 0.000
2.452 1.415 2.811
4.903 2.831 8.596
4.903 2.831 1.588
7.355 4.246 7.373
```

Summary:
- Space-group type: R-3m (166)



(10)
Nd3Ho2Tl: relaxed, GGA-PBE.

Structure (POSCAR):
```
Nd3Ho2Tl
1.0
-2.184 -4.367 -0.637
2.128 -1.678 4.207
-7.109 3.274 1.925
Tl Nd Ho
1 3 2
Cartesian
0.000 0.000 0.000
-4.018 -1.415 4.444
-3.147 -1.356 1.051
-0.028 -3.023 1.785
-0.913 -0.043 3.421
-4.069 1.639 2.711
```

Summary:
- Space-group type: Cmmm (65)



(11)
NdHo2Tl: relaxed, GGA-PBE.

Structure (POSCAR):
```
NdHo2Tl
1.0
-1.337 -3.860 -2.157
6.679 0.287 0.292
-0.153 -4.220 7.647
Ho Tl Nd
4 2 2
Cartesian
0.951 -2.592 -0.898
4.239 -5.201 6.679
0.890 -4.268 2.138
4.299 -3.526 3.644
2.423 -5.972 4.237
2.766 -1.822 1.545
4.616 -4.440 0.136
0.574 -3.353 5.645
```

Summary:
- Space-group type: Cmcm (63)



(12)
NdHo2Tl: relaxed, GGA-PBE.

Structure (POSCAR):
```
NdHo2Tl
1.0
-0.616 -2.882 3.842
2.523 -3.385 -2.135
7.876 5.699 5.538
Tl Ho Nd
2 4 2
Cartesian
2.807 0.573 2.406
6.976 -1.141 4.839
9.079 1.082 3.793
0.703 -1.651 3.451
7.641 1.391 6.845
2.141 -1.959 0.399
4.320 -2.313 3.534
5.463 1.744 3.710
```

Summary:
- Space-group type: P2_1/m (11)



no.,N(E_F) (states/eV per atom),electronic total energy (eV/cell),magnetic moment (μB per cell)
1,0.85,-40.51,0.000
2,1.36,-87.84,0.000
3,1.24,-130.20,0.000
4,1.58,-59.39,0.000
5,1.29,-35.75,0.000
6,1.09,-48.24,0.000
7,1.30,-75.78,3.342
8,1.27,-88.92,0.000
9,0.70,-24.19,0.001
10,1.24,-26.47,0.000
11,1.24,-33.39,0.000
12,1.03,-33.87,0.000